No. 1
# Cd2InSe2 (PBE-GGA, optimized geometry)
# Energy above the most stable polymorph in this dataset in meV per atom: 5.1
# E in eV per atom: -2.50
# Size of the total moment in μB per formula unit: 0.0
# Formation energy from raw total energies in meV per atom: -194
data_Cd2InSe2
_chemical_formula_sum 'Cd4 In2 Se4'
_cell_length_a 5.326
_cell_length_b 5.326
_cell_length_c 9.577
_cell_angle_alpha 90.00
_cell_angle_beta 90.00
_cell_angle_gamma 90.00
_symmetry_space_group_name_H-M 'I 4/m m m'
_symmetry_Int_Tables_number 139
_symmetry_space_group_name_Hall '-I 4 2'
loop_
_atom_site_label
_atom_site_fract_x
_atom_site_fract_y
_atom_site_fract_z
Cd1 0.000 0.000 0.150
In1 0.000 0.000 0.500
Se1 0.000 0.500 0.250

=====

No. 2
# PaGa2PbBr8 (PBE-GGA, optimized geometry)
# E in eV per atom: -3.73
# Size of the total moment in μB per formula unit: 1.0
# Formation energy from raw total energies in meV per atom: -1009
data_PaGa2PbBr8
_chemical_formula_sum 'Pa1 Ga2 Pb1 Br8'
_cell_length_a 7.042
_cell_length_b 7.390
_cell_length_c 8.943
_cell_angle_alpha 89.93
_cell_angle_beta 89.90
_cell_angle_gamma 87.25
_symmetry_space_group_name_H-M 'P -1'
_symmetry_Int_Tables_number 2
loop_
_symmetry_equiv_pos_as_xyz
'x,y,z'
'-x,-y,-z'
loop_
_atom_site_label
_atom_site_fract_x
_atom_site_fract_y
_atom_site_fract_z
Pa1 0.000 0.000 0.000
Ga1 0.500 0.500 0.266
Pb1 0.000 0.000 0.500
Br1 0.225 0.147 0.231
Br2 0.226 0.146 0.768
Br3 0.231 0.687 0.001
Br4 0.267 0.667 0.500

=====

No. 3
# CaHoPtAu (PBE-GGA, optimized geometry)
# Energy above the most stable polymorph in this dataset in meV per atom: 0.0
# E in eV per atom: -4.95
# Size of the total moment in μB per formula unit: 0.0
# E_form in kJ per mole of atoms: -94
data_CaHoPtAu
_chemical_formula_sum 'Ca2 Ho2 Pt2 Au2'
_cell_length_a 4.413
_cell_length_b 3.842
_cell_length_c 11.063
_cell_angle_alpha 90.00
_cell_angle_beta 90.00
_cell_angle_gamma 90.00
_symmetry_space_group_name_H-M 'A m m 2'
_symmetry_Int_Tables_number 38
loop_
_symmetry_equiv_pos_as_xyz
'x,y,z'
'-x,-y,z'
'-x,y,z'
'x,-y,z'
'x,y+1/2,z+1/2'
'-x,-y+1/2,z+1/2'
'-x,y+1/2,z+1/2'
'x,-y+1/2,z+1/2'
loop_
_atom_site_label
_atom_site_fract_x
_atom_site_fract_y
_atom_site_fract_z
Ca1 0.000 0.000 0.000
Ho1 0.500 0.000 0.720
Pt1 0.000 0.000 0.267
Au1 0.500 0.000 0.440